Compound: ScAl3Ni
Source: Alexandria
Functional: PBE
Structure: optimized geometry

The structure in POSCAR format:
```
ScAl3Ni
1.0
6.466 0.000 0.000
0.000 3.927 0.000
-1.740 0.000 6.471
Sc Al Ni
2 6 2
direct
0.199 0.250 0.174
0.801 0.750 0.826
0.082 0.250 0.658
0.333 0.750 0.907
0.347 0.750 0.517
0.653 0.250 0.483
0.667 0.250 0.093
0.918 0.750 0.342
0.461 0.250 0.741
0.539 0.750 0.259
```

Energy = -52.04 eV for the cell shown
Relative energy among the computed polymorphs = 13 meV per atom
ΔE_f = -536 meV/atom
Calculated volume = 16.43 A^3/atom
Total magnetic moment = 0.000 μB/atom

***

Compound: SrSc2BeSi
Source: Alexandria
Functional: PBE
Structure: optimized geometry

The structure in POSCAR format:
```
SrSc2BeSi
1.0
5.060 0.000 0.000
0.000 5.060 0.000
0.000 0.000 5.854
Sr Sc Be Si
1 2 1 1
direct
0.000 0.000 0.000
0.000 0.500 0.500
0.500 0.000 0.500
0.500 0.500 0.000
0.000 0.000 0.500
```

Energy = -21.31 eV for the cell shown
Calculated volume = 29.98 A^3/atom
Total magnetic moment = 0.000 μB/atom
ΔE_f (raw) = 0.4375 eV/atom

***

Compound: Ba2LaRe
Source: Alexandria
Functional: PBE
Structure: optimized geometry

The structure in POSCAR format:
```
Ba2LaRe
1.0
3.629 0.000 0.000
0.000 4.789 0.000
0.000 0.000 18.377
Ba La Re
4 2 2
direct
0.000 0.000 0.153
0.000 0.000 0.847
0.500 0.500 0.347
0.500 0.500 0.653
0.000 0.500 0.000
0.500 0.000 0.500
0.000 0.500 0.500
0.500 0.000 0.000
```

Energy = -37.92 eV for the cell shown
Relative energy among the computed polymorphs = 62 meV per atom
ΔE_f = 565 meV/atom
Calculated volume = 39.92 A^3/atom
Total magnetic moment = 0.134 μB/atom

***

Compound: CsLiAuBr3
Source: Alexandria
Functional: PBE
Structure: optimized geometry

The structure in POSCAR format:
```
CsLiAuBr3
1.0
7.754 -3.802 0.000
7.754 3.802 0.000
-1.852 0.000 7.614
Cs Li Au Br
2 2 2 6
direct
0.226 0.226 0.237
0.774 0.774 0.763
0.456 0.456 0.758
0.544 0.544 0.242
0.227 0.773 0.500
0.773 0.227 0.500
0.182 0.691 0.186
0.299 0.299 0.715
0.309 0.818 0.814
0.691 0.182 0.186
0.701 0.701 0.285
0.818 0.309 0.814
```

Energy = -35.47 eV for the cell shown
Calculated volume = 37.41 A^3/atom
Total magnetic moment = 0.000 μB/atom
ΔE_f (raw) = -1.1117 eV/atom

***

What is the energy in the fourth record?
-35.47 eV for the cell shown